(1)
Below is a relaxed structure of Ba2CdF5, with properties calculated at the PBE level.

Summary:
Crystal system ... triclinic
D(E_F) ... 0.23 states/eV/atom
E ... -4.77 eV per atom
E_form (uncorrected) ... -24.05 eV/f.u.

Cell: 5.3607 6.1039 6.6808 Å, 97.64 113.43 113.69°
Closest atoms and distances in Å follow each position.
Fractional positions:
1 Ba 0.0000 0.0000 0.0000  6 F 2.55-2.83
2 Ba 0.0156 0.4707 0.5558  6 F 2.53-2.80
3 Cd 0.5561 0.7408 0.2980  5 F 2.27-2.47
4 F 0.0327 0.4349 0.1642  1 Cd 2.35
5 F 0.0374 0.0873 0.6465  1 Cd 2.47, 2 Ba 2.53-2.55
6 F 0.4111 0.8506 0.9450  1 Cd 2.45, 1 Ba 2.59
7 F 0.4507 0.0566 0.3780  1 Cd 2.27
8 F 0.6035 0.5958 0.6299  1 Cd 2.45, 2 Ba 2.59-2.74

---

(2)
Below is a relaxed structure of Ba5Cd2F12, with properties calculated at the PBE level.

Summary:
Crystal system ... monoclinic
D(E_F) ... 0.00 states/eV/atom
E ... -5.09 eV per atom
E_form (uncorrected) ... -62.83 eV/f.u.

Cell: 7.5815 7.5815 8.7413 Å, 102.38 102.38 53.09°
Closest atoms and distances in Å follow each position.
Fractional positions:
1 Ba 0.0000 0.0000 0.0000  6 F 2.61-2.72
2 Ba 0.2933 0.2933 0.6577  8 F 2.58-2.82
3 Ba 0.3098 0.3098 0.1331  8 F 2.73-2.83
4 Ba 0.6902 0.6902 0.8669  8 F 2.73-2.83
5 Ba 0.7067 0.7067 0.3423  8 F 2.58-2.82
6 Cd 0.2057 0.7943 0.5000  4 F 2.36-2.50
7 Cd 0.7943 0.2057 0.5000  4 F 2.36-2.50
8 F 0.1114 0.5992 0.8966  4 Ba 2.61-2.83, 1 F 2.81
9 F 0.1262 0.5308 0.4092  1 Cd 2.36, 1 Ba 2.58
10 F 0.1567 0.1567 0.8550  3 Ba 2.72-2.82, 2 F 2.81
11 F 0.4008 0.8886 0.1034  4 Ba 2.61-2.83, 1 F 2.81
12 F 0.4692 0.8738 0.5908  1 Cd 2.36, 1 Ba 2.58
13 F 0.4964 0.4964 0.6719  2 Cd 2.50, 2 Ba 2.73-2.77
14 F 0.5036 0.5036 0.3281  2 Cd 2.50, 2 Ba 2.73-2.77
15 F 0.5308 0.1262 0.4092  1 Cd 2.36, 1 Ba 2.58
16 F 0.5992 0.1114 0.8966  4 Ba 2.61-2.83, 1 F 2.81
17 F 0.8433 0.8433 0.1450  3 Ba 2.72-2.82, 2 F 2.81
18 F 0.8738 0.4692 0.5908  1 Cd 2.36, 1 Ba 2.58
19 F 0.8886 0.4008 0.1034  4 Ba 2.61-2.83, 1 F 2.81

---

(3)
Below is a relaxed structure of BaCd2F7, with properties calculated at the PBE level.

Summary:
Crystal system ... orthorhombic
D(E_F) ... 0.66 states/eV/atom
Energy above the lowest structure with this stoichiometry ... 15 meV/atom
E ... -4.11 eV per atom
E_form (uncorrected) ... -24.24 eV/f.u.

Cell: 6.5849 6.5849 4.2663 Å, 90.00 90.00 115.38°
Closest atoms and distances in Å follow each position.
Fractional positions:
1 Ba 0.0000 0.0000 0.0000  10 F 2.87-2.88
2 Cd 0.2999 0.7001 0.5000  7 F 2.18-2.35
3 Cd 0.7001 0.2999 0.5000  7 F 2.18-2.35
4 F 0.0600 0.3145 0.5000  2 Cd 2.33-2.35
5 F 0.2582 0.7418 0.0000  2 Cd 2.18
6 F 0.3145 0.0600 0.5000  2 Cd 2.33-2.35
7 F 0.5000 0.5000 0.5000  2 Cd 2.23
8 F 0.6855 0.9400 0.5000  2 Cd 2.33-2.35
9 F 0.7418 0.2582 0.0000  2 Cd 2.18
10 F 0.9400 0.6855 0.5000  2 Cd 2.33-2.35

---

(4)
Below is a relaxed structure of Ba2CdGeF, with properties calculated at the PBE level.

Summary:
Crystal system ... tetragonal
D(E_F) ... 0.40 states/eV/atom
E ... -3.40 eV per atom
E_form (uncorrected) ... -5.75 eV/f.u.

Cell: 5.4374 5.4374 5.1177 Å, 90.00 90.00 90.00°
Closest atoms and distances in Å follow each position.
Fractional positions:
1 Ba 0.0000 0.5000 0.0000  2 F 2.72
2 Ba 0.5000 0.0000 0.0000  2 F 2.72
3 Cd 0.0000 0.0000 0.5000  2 F 2.56
4 Ge 0.5000 0.5000 0.5000  8 Ba 3.73, 4 Cd 3.84
5 F 0.0000 0.0000 0.0000  2 Cd 2.56, 4 Ba 2.72

---

(5)
Below is a relaxed structure of Ba2CdHF6, with properties calculated at the PBE level.

Summary:
Crystal system ... triclinic
D(E_F) ... 0.00 states/eV/atom
E ... -4.60 eV per atom

Cell: 6.2761 6.4465 6.6405 Å, 115.53 96.84 114.44°
Closest atoms and distances in Å follow each position.
Fractional positions:
1 Ba 0.2137 0.4947 0.2799  6 F 2.57-2.75
2 Ba 0.7863 0.5053 0.7201  6 F 2.57-2.75
3 Cd 0.0000 0.0000 0.5000  6 F 2.25-2.26
4 H 0.5000 0.0000 0.0000  2 F 2.41
5 F 0.1355 0.3890 0.8483  1 Cd 2.26
6 F 0.1554 0.8169 0.6484  1 Cd 2.25, 1 H 2.41
7 F 0.3311 0.2010 0.4094  1 Cd 2.26
8 F 0.6689 0.7990 0.5906  1 Cd 2.26
9 F 0.8446 0.1831 0.3516  1 Cd 2.25, 1 H 2.41
10 F 0.8645 0.6110 0.1517  1 Cd 2.26

---

(6)
Below is a relaxed structure of BaHfCdF2, with properties calculated at the PBE level.

Summary:
Crystal system ... tetragonal
D(E_F) ... 0.84 states/eV/atom
E ... -3.49 eV per atom
E_form (uncorrected) ... -0.91 eV/f.u.

Cell: 4.5645 4.5645 7.2953 Å, 90.00 90.00 90.00°
Closest atoms and distances in Å follow each position.
Fractional positions:
1 Ba 0.0000 0.0000 0.0000  4 Hf 3.23
2 Hf 0.5000 0.5000 0.0000  4 Ba 3.23
3 Cd 0.0000 0.0000 0.5000  4 F 2.28
4 F 0.0000 0.5000 0.5000  2 Cd 2.28
5 F 0.5000 0.0000 0.5000  2 Cd 2.28

---

(7)
Below is a relaxed structure of K2BaCdF6, with properties calculated at the PBE level.

Summary:
Crystal system ... monoclinic
D(E_F) ... 0.00 states/eV/atom
E ... -4.53 eV per atom
E_form (uncorrected) ... -29.00 eV/f.u.

Cell: 6.4260 6.6607 11.1394 Å, 90.00 124.48 90.00°
Closest atoms and distances in Å follow each position.
Fractional positions:
1 K 0.2329 0.0524 0.2508  5 F 2.67-2.95
2 K 0.2329 0.4476 0.7508  5 F 2.67-2.95
3 K 0.7671 0.5524 0.2492  5 F 2.67-2.95
4 K 0.7671 0.9476 0.7492  5 F 2.67-2.95
5 Ba 0.5000 0.0000 0.0000  6 F 2.58-2.61
6 Ba 0.5000 0.5000 0.5000  6 F 2.58-2.61
7 Cd 0.0000 0.0000 0.5000  6 F 2.26-2.30
8 Cd 0.0000 0.5000 0.0000  6 F 2.26-2.30
9 F 0.1116 0.2185 0.9308  1 Cd 2.29
10 F 0.1116 0.2815 0.4308  1 Cd 2.29
11 F 0.2221 0.6868 0.9398  1 Cd 2.26
12 F 0.2221 0.8132 0.4398  1 Cd 2.26
13 F 0.3511 0.0584 0.7309  1 Cd 2.30
14 F 0.3511 0.4416 0.2309  1 Cd 2.30
15 F 0.6489 0.5584 0.7691  1 Cd 2.30
16 F 0.6489 0.9416 0.2691  1 Cd 2.30
17 F 0.7779 0.1868 0.5602  1 Cd 2.26
18 F 0.7779 0.3132 0.0602  1 Cd 2.26
19 F 0.8884 0.7185 0.5692  1 Cd 2.29
20 F 0.8884 0.7815 0.0692  1 Cd 2.29

---

(8)
Below is a relaxed structure of KBa2CdF, with properties calculated at the PBE level.

Summary:
Crystal system ... tetragonal
D(E_F) ... 0.92 states/eV/atom
E ... -2.66 eV per atom
E_form (uncorrected) ... -5.55 eV/f.u.

Cell: 5.8241 5.8241 5.2479 Å, 90.00 90.00 90.00°
Closest atoms and distances in Å follow each position.
Fractional positions:
1 K 0.0000 0.0000 0.0000  2 F 2.62
2 Ba 0.0000 0.5000 0.5000  2 F 2.91
3 Ba 0.5000 0.0000 0.5000  2 F 2.91
4 Cd 0.5000 0.5000 0.0000  8 Ba 3.92, 4 K 4.12
5 F 0.0000 0.0000 0.5000  2 K 2.62, 4 Ba 2.91

---

(9)
Below is a relaxed structure of KBaCd2F8, with properties calculated at the PBE level.

Summary:
Crystal system ... tetragonal
D(E_F) ... 0.80 states/eV/atom
E ... -4.13 eV per atom
E_form (uncorrected) ... -29.75 eV/f.u.

Cell: 6.8926 6.8926 6.8926 Å, 127.95 127.95 76.70°
Closest atoms and distances in Å follow each position.
Fractional positions:
1 K 0.0000 0.0000 0.0000  8 F 2.67
2 Ba 0.7500 0.2500 0.5000  8 F 2.66
3 Cd 0.2500 0.7500 0.5000  8 F 2.41
4 Cd 0.5000 0.5000 0.0000  8 F 2.40
5 F 0.1605 0.1266 0.5373  2 Cd 2.40-2.41, 1 F 2.59, 1 Ba 2.66, 1 K 2.67
6 F 0.1605 0.6233 0.0339  2 Cd 2.40-2.41, 1 F 2.59, 1 Ba 2.66, 1 K 2.67
7 F 0.3767 0.4107 0.5373  2 Cd 2.40-2.41, 1 F 2.59, 1 Ba 2.66, 1 K 2.67
8 F 0.3767 0.8395 0.9661  2 Cd 2.40-2.41, 1 F 2.59, 1 Ba 2.66, 1 K 2.67
9 F 0.5893 0.1266 0.9661  2 Cd 2.40-2.41, 1 F 2.59, 1 Ba 2.66, 1 K 2.67
10 F 0.5893 0.6233 0.4627  2 Cd 2.40-2.41, 1 F 2.59, 1 Ba 2.66, 1 K 2.67
11 F 0.8734 0.4107 0.0339  2 Cd 2.40-2.41, 1 F 2.59, 1 Ba 2.66, 1 K 2.67
12 F 0.8734 0.8395 0.4627  2 Cd 2.40-2.41, 1 F 2.59, 1 Ba 2.66, 1 K 2.67

---

(10)
Below is a relaxed structure of BaLiCdF6, with properties calculated at the PBE level.

Summary:
Crystal system ... trigonal
D(E_F) ... 0.61 states/eV/atom
E ... -4.41 eV per atom
E_form (uncorrected) ... -23.73 eV/f.u.

Cell: 5.5479 5.5479 5.6906 Å, 90.00 90.00 120.00°
Closest atoms and distances in Å follow each position.
Fractional positions:
1 Ba 0.0000 0.0000 0.0000  6 F 2.64
2 Li 0.3333 0.6667 0.5000  6 F 2.07
3 Cd 0.6667 0.3333 0.5000  6 F 2.18
4 F 0.0143 0.3820 0.7131  1 Li 2.07, 1 Cd 2.18
5 F 0.0143 0.6324 0.2869  1 Li 2.07, 1 Cd 2.18
6 F 0.3676 0.3820 0.2869  1 Li 2.07, 1 Cd 2.18
7 F 0.3676 0.9857 0.7131  1 Li 2.07, 1 Cd 2.18
8 F 0.6180 0.6324 0.7131  1 Li 2.07, 1 Cd 2.18
9 F 0.6180 0.9857 0.2869  1 Li 2.07, 1 Cd 2.18

---

(11)
Below is a relaxed structure of BaLiCd2F8, with properties calculated at the PBE level.

Summary:
Crystal system ... triclinic
D(E_F) ... 0.51 states/eV/atom
E ... -4.19 eV per atom
E_form (uncorrected) ... -29.66 eV/f.u.

Cell: 4.2520 5.8751 7.5408 Å, 85.64 89.77 87.78°
Closest atoms and distances in Å follow each position.
Fractional positions:
1 Ba 0.0000 0.0000 0.0000  8 F 2.59-2.72
2 Li 0.0000 0.0000 0.5000  2 F 1.85
3 Cd 0.4585 0.5193 0.7367  7 F 2.23-2.41
4 Cd 0.5415 0.4807 0.2633  7 F 2.23-2.41
5 F 0.0505 0.6461 0.2522  2 Cd 2.27-2.40
6 F 0.1287 0.8249 0.7027  1 Li 1.85
7 F 0.3866 0.2682 0.5191  2 Cd 2.32, 1 Li 2.33, 1 F 2.59
8 F 0.4706 0.2753 0.0027  2 Cd 2.37-2.41, 1 Ba 2.62, 1 F 2.66
9 F 0.5294 0.7247 0.9973  2 Cd 2.37-2.41, 1 Ba 2.62, 1 F 2.66
10 F 0.6134 0.7318 0.4809  2 Cd 2.32, 1 Li 2.33, 1 F 2.59
11 F 0.8713 0.1751 0.2973  1 Li 1.85
12 F 0.9495 0.3539 0.7478  2 Cd 2.27-2.40

---

(12)
Below is a relaxed structure of BaLi3Cd4F12, with properties calculated at the PBE level.

Summary:
Crystal system ... cubic
D(E_F) ... 0.14 states/eV/atom
E ... -4.19 eV per atom
E_form (uncorrected) ... -49.96 eV/f.u.

Cell: 7.2816 7.2816 7.2816 Å, 109.47 109.47 109.47°
Closest atoms and distances in Å follow each position.
Fractional positions:
1 Ba 0.0000 0.0000 0.0000  12 F 2.94
2 Li 0.0000 0.5000 0.5000  4 F 2.06
3 Li 0.5000 0.0000 0.5000  4 F 2.06
4 Li 0.5000 0.5000 0.0000  4 F 2.06
5 Cd 0.0000 0.0000 0.5000  6 F 2.30
6 Cd 0.0000 0.5000 0.0000  6 F 2.30
7 Cd 0.5000 0.0000 0.0000  6 F 2.30
8 Cd 0.5000 0.5000 0.5000  6 F 2.30
9 F 0.1553 0.3127 0.8426  1 Li 2.06, 2 Cd 2.30
10 F 0.1574 0.4700 0.3127  1 Li 2.06, 2 Cd 2.30
11 F 0.1574 0.8447 0.6873  1 Li 2.06, 2 Cd 2.30
12 F 0.3127 0.1574 0.4700  1 Li 2.06, 2 Cd 2.30
13 F 0.3127 0.8426 0.1553  1 Li 2.06, 2 Cd 2.30
14 F 0.4700 0.3127 0.1574  1 Li 2.06, 2 Cd 2.30
15 F 0.5300 0.6873 0.8426  1 Li 2.06, 2 Cd 2.30
16 F 0.6873 0.1574 0.8447  1 Li 2.06, 2 Cd 2.30
17 F 0.6873 0.8426 0.5300  1 Li 2.06, 2 Cd 2.30
18 F 0.8426 0.1553 0.3127  1 Li 2.06, 2 Cd 2.30
19 F 0.8426 0.5300 0.6873  1 Li 2.06, 2 Cd 2.30
20 F 0.8447 0.6873 0.1574  1 Li 2.06, 2 Cd 2.30